## w
# PBE K4Rb3, relaxed
data_K4Rb3
_chemical_formula_sum 'K8 Rb6'
_space_group_name_H-M_alt 'C 1 2/m 1'
_space_group_IT_number 12
_cell_length_a 23.1677
_cell_length_b 4.6051
_cell_length_c 11.9050
_cell_angle_alpha 90.00
_cell_angle_beta 117.51
_cell_angle_gamma 90.00
loop_
_space_group_symop_operation_xyz
'x,y,z'
'-x,-y,-z'
'-x,y,-z'
'x,-y,z'
'x+1/2,y+1/2,z'
'-x+1/2,-y+1/2,-z'
'-x+1/2,y+1/2,-z'
'x+1/2,-y+1/2,z'
loop_
_atom_site_label
_atom_site_type_symbol
_atom_site_fract_x
_atom_site_fract_y
_atom_site_fract_z
_atom_site_occupancy
K1 K 0.0711 0.0000 0.2000 1
K2 K 0.1372 0.5000 0.9148 1
Rb1 Rb 0.0000 0.0000 0.5000 1
Rb2 Rb 0.2230 0.0000 0.6542 1
# **Fermi-level density of states**: 0.818 states/eV/atom

## x
# PBE K4Rb3, relaxed
data_K4Rb3
_chemical_formula_sum 'K8 Rb6'
_space_group_name_H-M_alt 'P 63/m'
_space_group_IT_number 176
_space_group_name_Hall '-P 6c'
_cell_length_a 12.7615
_cell_length_b 12.7615
_cell_length_c 7.9272
_cell_angle_alpha 90.00
_cell_angle_beta 90.00
_cell_angle_gamma 120.00
loop_
_atom_site_label
_atom_site_type_symbol
_atom_site_fract_x
_atom_site_fract_y
_atom_site_fract_z
_atom_site_occupancy
K1 K 0.0992 0.4861 0.2500 1
K2 K 0.3333 0.6667 0.7500 1
Rb1 Rb 0.0535 0.2480 0.7500 1
# **Fermi-level density of states**: 0.796 states/eV/atom

Taking the most stable structure as the zero point, the relative energies in kJ/mol of atoms are w 1.4; x 0.0.

## w
# PBE K3Rb7, relaxed
data_K3Rb7
_chemical_formula_sum 'K6 Rb14'
_space_group_name_H-M_alt 'A m m 2'
_space_group_IT_number 38
_cell_length_a 7.0359
_cell_length_b 7.0373
_cell_length_c 34.3490
_cell_angle_alpha 90.00
_cell_angle_beta 90.00
_cell_angle_gamma 90.00
loop_
_space_group_symop_operation_xyz
'x,y,z'
'-x,-y,z'
'-x,y,z'
'x,-y,z'
'x,y+1/2,z+1/2'
'-x,-y+1/2,z+1/2'
'-x,y+1/2,z+1/2'
'x,-y+1/2,z+1/2'
loop_
_atom_site_label
_atom_site_type_symbol
_atom_site_fract_x
_atom_site_fract_y
_atom_site_fract_z
_atom_site_occupancy
K1 K 0.0000 0.0000 0.0000 1
K2 K 0.0000 0.0000 0.4037 1
K3 K 0.5000 0.0000 0.0964 1
Rb1 Rb 0.0000 0.0000 0.1974 1
Rb2 Rb 0.0000 0.0000 0.5965 1
Rb3 Rb 0.0000 0.0000 0.8029 1
Rb4 Rb 0.5000 0.0000 0.3025 1
Rb5 Rb 0.5000 0.0000 0.5000 1
Rb6 Rb 0.5000 0.0000 0.6972 1
Rb7 Rb 0.5000 0.0000 0.9034 1
# **Fermi-level density of states**: 0.762 states/eV/atom

## x
# PBE K3Rb7, relaxed
data_K3Rb7
_chemical_formula_sum 'K6 Rb14'
_space_group_name_H-M_alt 'P 63 m c'
_space_group_IT_number 186
_space_group_name_Hall 'P 6c -2c'
_cell_length_a 14.4266
_cell_length_b 14.4266
_cell_length_c 9.7721
_cell_angle_alpha 90.00
_cell_angle_beta 90.00
_cell_angle_gamma 120.00
loop_
_atom_site_label
_atom_site_type_symbol
_atom_site_fract_x
_atom_site_fract_y
_atom_site_fract_z
_atom_site_occupancy
K1 K 0.2163 0.4327 0.0000 1
Rb1 Rb 0.0552 0.5276 0.3173 1
Rb2 Rb 0.1209 0.2418 0.5510 1
Rb3 Rb 0.3333 0.6667 0.6335 1
# **Fermi-level density of states**: 0.962 states/eV/atom

Taking the most stable structure as the zero point, the relative energies in kJ/mol of atoms are w 0.0; x 2.6.

## w
# PBE KRb2Re, relaxed
data_KRb2Re
_chemical_formula_sum 'K4 Rb8 Re4'
_space_group_name_H-M_alt 'I -4 2 d'
_space_group_IT_number 122
_space_group_name_Hall 'I -4 2bw'
_cell_length_a 10.3849
_cell_length_b 10.3849
_cell_length_c 15.2377
_cell_angle_alpha 90.00
_cell_angle_beta 90.00
_cell_angle_gamma 90.00
loop_
_atom_site_label
_atom_site_type_symbol
_atom_site_fract_x
_atom_site_fract_y
_atom_site_fract_z
_atom_site_occupancy
K1 K 0.0000 0.0000 0.0000 1
Rb1 Rb 0.0016 0.2500 0.6250 1
Re1 Re 0.0000 0.0000 0.5000 1
# **Fermi-level density of states**: 2.554 states/eV/atom

## x
# PBE KRb2Re, relaxed
data_KRb2Re
_chemical_formula_sum 'K4 Rb8 Re4'
_space_group_name_H-M_alt 'F m -3 m'
_space_group_IT_number 225
_space_group_name_Hall '-F 4 2 3'
_cell_length_a 9.1184
_cell_length_b 9.1184
_cell_length_c 9.1184
_cell_angle_alpha 90.00
_cell_angle_beta 90.00
_cell_angle_gamma 90.00
loop_
_atom_site_label
_atom_site_type_symbol
_atom_site_fract_x
_atom_site_fract_y
_atom_site_fract_z
_atom_site_occupancy
K1 K 0.0000 0.0000 0.0000 1
Rb1 Rb 0.2500 0.2500 0.2500 1
Re1 Re 0.0000 0.0000 0.5000 1
# **Fermi-level density of states**: 1.671 states/eV/atom

Taking the most stable structure as the zero point, the relative energies in kJ/mol of atoms are w 28.4; x 0.0.

## w
# PBE KRbRh2, relaxed
data_KRbRh2
_chemical_formula_sum 'K4 Rb4 Rh8'
_space_group_name_H-M_alt 'I -4 2 d'
_space_group_IT_number 122
_space_group_name_Hall 'I -4 2bw'
_cell_length_a 9.0728
_cell_length_b 9.0728
_cell_length_c 5.4236
_cell_angle_alpha 90.00
_cell_angle_beta 90.00
_cell_angle_gamma 90.00
loop_
_atom_site_label
_atom_site_type_symbol
_atom_site_fract_x
_atom_site_fract_y
_atom_site_fract_z
_atom_site_occupancy
K1 K 0.0000 0.0000 0.0000 1
Rb1 Rb 0.0000 0.0000 0.5000 1
Rh1 Rh 0.2467 0.2500 0.1250 1
# **Fermi-level density of states**: 2.138 states/eV/atom

## x
# PBE KRbRh2, relaxed
data_KRbRh2
_chemical_formula_sum 'K4 Rb4 Rh8'
_space_group_name_H-M_alt 'F m -3 m'
_space_group_IT_number 225
_space_group_name_Hall '-F 4 2 3'
_cell_length_a 7.4294
_cell_length_b 7.4294
_cell_length_c 7.4294
_cell_angle_alpha 90.00
_cell_angle_beta 90.00
_cell_angle_gamma 90.00
loop_
_atom_site_label
_atom_site_type_symbol
_atom_site_fract_x
_atom_site_fract_y
_atom_site_fract_z
_atom_site_occupancy
K1 K 0.0000 0.0000 0.0000 1
Rb1 Rb 0.0000 0.0000 0.5000 1
Rh1 Rh 0.2500 0.2500 0.2500 1
# **Fermi-level density of states**: 1.752 states/eV/atom

Taking the most stable structure as the zero point, the relative energies in kJ/mol of atoms are w 0.0; x 8.8.

## w
# PBE KRbRh3, relaxed
data_KRbRh3
_chemical_formula_sum 'K1 Rb1 Rh3'
_space_group_name_H-M_alt 'P m -3 m'
_space_group_IT_number 221
_space_group_name_Hall '-P 4 2 3'
_cell_length_a 5.1636
_cell_length_b 5.1636
_cell_length_c 5.1636
_cell_angle_alpha 90.00
_cell_angle_beta 90.00
_cell_angle_gamma 90.00
loop_
_atom_site_label
_atom_site_type_symbol
_atom_site_fract_x
_atom_site_fract_y
_atom_site_fract_z
_atom_site_occupancy
K1 K 0.0000 0.0000 0.0000 1
Rb1 Rb 0.5000 0.5000 0.5000 1
Rh1 Rh 0.0000 0.0000 0.5000 1
# **Fermi-level density of states**: 2.169 states/eV/atom

## x
# PBE KRbRh3, relaxed
data_KRbRh3
_chemical_formula_sum 'K1 Rb1 Rh3'
_space_group_name_H-M_alt 'P m -3 m'
_space_group_IT_number 221
_space_group_name_Hall '-P 4 2 3'
_cell_length_a 5.1436
_cell_length_b 5.1436
_cell_length_c 5.1436
_cell_angle_alpha 90.00
_cell_angle_beta 90.00
_cell_angle_gamma 90.00
loop_
_atom_site_label
_atom_site_type_symbol
_atom_site_fract_x
_atom_site_fract_y
_atom_site_fract_z
_atom_site_occupancy
K1 K 0.0000 0.0000 0.0000 1
Rb1 Rb 0.5000 0.5000 0.5000 1
Rh1 Rh 0.0000 0.5000 0.5000 1
# **Fermi-level density of states**: 2.519 states/eV/atom

Taking the most stable structure as the zero point, the relative energies in kJ/mol of atoms are w 0.0; x 1.7.

## w
# PBE KRbTl2Rh, relaxed
data_KRbTl2Rh
_chemical_formula_sum 'K1 Rb1 Tl2 Rh1'
_space_group_name_H-M_alt 'P 4/m m m'
_space_group_IT_number 123
_space_group_name_Hall '-P 4 2'
_cell_length_a 5.3804
_cell_length_b 5.3804
_cell_length_c 6.2381
_cell_angle_alpha 90.00
_cell_angle_beta 90.00
_cell_angle_gamma 90.00
loop_
_atom_site_label
_atom_site_type_symbol
_atom_site_fract_x
_atom_site_fract_y
_atom_site_fract_z
_atom_site_occupancy
K1 K 0.0000 0.0000 0.0000 1
Rb1 Rb 0.5000 0.5000 0.0000 1
Tl1 Tl 0.0000 0.5000 0.5000 1
Rh1 Rh 0.5000 0.5000 0.5000 1
# **Fermi-level density of states**: 0.490 states/eV/atom

## x
# PBE KRbTl2Rh, relaxed
data_KRbTl2Rh
_chemical_formula_sum 'K1 Rb1 Tl2 Rh1'
_space_group_name_H-M_alt 'P 4/m m m'
_space_group_IT_number 123
_space_group_name_Hall '-P 4 2'
_cell_length_a 5.3769
_cell_length_b 5.3769
_cell_length_c 6.1072
_cell_angle_alpha 90.00
_cell_angle_beta 90.00
_cell_angle_gamma 90.00
loop_
_atom_site_label
_atom_site_type_symbol
_atom_site_fract_x
_atom_site_fract_y
_atom_site_fract_z
_atom_site_occupancy
K1 K 0.0000 0.0000 0.0000 1
Rb1 Rb 0.5000 0.5000 0.0000 1
Tl1 Tl 0.0000 0.5000 0.5000 1
Rh1 Rh 0.0000 0.0000 0.5000 1
# **Fermi-level density of states**: 0.472 states/eV/atom

Taking the most stable structure as the zero point, the relative energies in kJ/mol of atoms are w 4.3; x 0.0.